No. 1
Density functional theory data (PBE) for a relaxed structure of ScFe2Se.

a b c (Å): 3.4097 3.4097 5.3840
angles (deg): 90.00 90.00 90.00
Fractional coordinates of all 4 atoms:
1 Sc 0.5000 0.5000 0.2500
2 Fe 0.0000 0.0000 0.9812
3 Fe 0.0000 0.0000 0.5188
4 Se 0.5000 0.5000 0.7500

Density ... 6250 kg/m³
DOS(E_F) ... 2.4 states/eV per cell
Space group ... P4/mmm
Uncorrected formation energy ... -121 meV per atom
Crystal system ... tetragonal

=====

No. 2
Density functional theory data (PBE) for a relaxed structure of Sc4FeSe.

a b c (Å): 3.7723 7.1623 17.6262
angles (deg): 90.00 90.00 90.00
Fractional coordinates of all 24 atoms:
1 Sc 0.2500 0.6428 0.9588
2 Sc 0.7500 0.8806 0.6440
3 Sc 0.2500 0.1428 0.5412
4 Sc 0.2500 0.5019 0.4313
5 Sc 0.7500 0.9981 0.9313
6 Sc 0.2500 0.0618 0.7847
7 Sc 0.2500 0.1194 0.3560
8 Sc 0.7500 0.3572 0.0412
9 Sc 0.7500 0.4382 0.2847
10 Sc 0.2500 0.6194 0.1440
11 Sc 0.7500 0.4981 0.5687
12 Sc 0.7500 0.3806 0.8560
13 Sc 0.2500 0.0019 0.0687
14 Sc 0.7500 0.9382 0.2153
15 Sc 0.7500 0.8572 0.4588
16 Sc 0.2500 0.5618 0.7153
17 Se 0.2500 0.7372 0.3015
18 Se 0.7500 0.7628 0.8015
19 Se 0.2500 0.2372 0.1985
20 Se 0.7500 0.2628 0.6985
21 Fe 0.7500 0.2503 0.4421
22 Fe 0.2500 0.2497 0.9421
23 Fe 0.7500 0.7503 0.0579
24 Fe 0.2500 0.7497 0.5579

Density ... 4388 kg/m³
DOS(E_F) ... 24.4 states/eV per cell
Space group ... Pnma
Uncorrected formation energy ... -599 meV per atom
Crystal system ... orthorhombic
E above lowest polymorph ... 0.000 eV per atom

=====

> Among the records above, which one has the lowest density?

Sc4FeSe